## BeNiO (PBE with a Hubbard U)

Data for a relaxed BeNiO crystal.

Crystal system: tetragonal
Total magnetization, μB/atom: 0.32
DOS(E_F), states/eV per atom: 0.122
E, eV per atom: -4.598

Unit cell a=3.327 b=3.327 c=6.501 alpha=90.00 beta=90.00 gamma=90.00
Site moments in Bohr magnetons follow the coordinates.
Atoms (fractional coordinates):
1 Ni 0.000 0.500 0.930  0.98
2 Ni 0.500 0.000 0.070  0.98
3 Be 0.000 0.500 0.493  0.00
4 Be 0.500 0.000 0.507  0.00
5 O 0.500 0.500 0.500  0.00
6 O 0.000 0.000 0.500  0.00